Entry from Alexandria via LeMat-Bulk: a relaxed structure of TcH2 (PBE).

DOS(E_F), states/eV/cell: 2.3
Electronic total energy, eV/f.u.: -16.76
Size of the total moment, μB/atom: 0.000

Unit cell a=6.1407 b=6.1407 c=6.1407 alpha=27.22 beta=27.22 gamma=27.22
Last column: nearest neighbours and their distance in Å.
Positions (direct):
Tc 0.0000 0.0000 0.0000  7 H 1.86-1.91
Tc 0.2092 0.2092 0.2092  4 H 1.83-1.88
H 0.1062 0.1062 0.1062  2 Tc 1.83-1.88, 6 H 1.93-1.98
H 0.3797 0.3797 0.3797  3 Tc 1.86, 4 H 1.98-2.03
H 0.4940 0.4940 0.4940  3 Tc 1.88, 4 H 1.93-2.03
H 0.6139 0.6139 0.6139  6 Tc 1.91-2.09, 1 H 2.13

Entry from Alexandria via LeMat-Bulk: a relaxed structure of TcH (PBE).

DOS(E_F), states/eV/cell: 4.9
Electronic total energy, eV/f.u.: -13.23
Size of the total moment, μB/atom: 0.000

Unit cell a=6.9470 b=6.9470 c=2.7865 alpha=90.00 beta=90.00 gamma=120.00
Last column: nearest neighbours and their distance in Å.
Positions (direct):
Tc 0.0206 0.6866 0.2500  4 H 1.91-1.98
Tc 0.3134 0.3340 0.2500  4 H 1.91-1.98
Tc 0.3340 0.0206 0.7500  4 H 1.91-1.98
Tc 0.6660 0.9794 0.2500  4 H 1.91-1.98
Tc 0.6866 0.6660 0.7500  4 H 1.91-1.98
Tc 0.9794 0.3134 0.7500  4 H 1.91-1.98
H 0.1594 0.5091 0.2500  4 Tc 1.91-1.98, 2 H 2.00
H 0.3497 0.8406 0.2500  4 Tc 1.91-1.98, 2 H 2.00
H 0.4909 0.6503 0.2500  4 Tc 1.91-1.98, 2 H 2.00
H 0.5091 0.3497 0.7500  4 Tc 1.91-1.98, 2 H 2.00
H 0.6503 0.1594 0.7500  4 Tc 1.91-1.98, 2 H 2.00
H 0.8406 0.4909 0.7500  4 Tc 1.91-1.98, 2 H 2.00

Entry from Alexandria via LeMat-Bulk: a relaxed structure of TcH2 (PBE).

DOS(E_F), states/eV/cell: 1.1
Electronic total energy, eV/f.u.: -15.81
Size of the total moment, μB/atom: 0.000

Unit cell a=3.1460 b=3.1460 c=3.1460 alpha=126.24 beta=126.24 gamma=79.49
Last column: nearest neighbours and their distance in Å.
Positions (direct):
Tc 0.0000 0.0000 0.0000  2 H 1.77
H 0.3659 0.3659 0.0000  1 H 1.30
H 0.6341 0.6341 0.0000  1 H 1.30